Entry 1:
Cs2Li2PuO6 (PBE, optimized geometry); volume = 18.1 A^3/atom; space-group type = R-3m, No. 166; formation energy without anion corrections = -1989.3 meV per atom
1.0
3.032 1.750 6.256
-3.032 1.750 6.256
0.000 -3.501 6.256
Cs Li Pu O
2 2 1 6
Direct
0.216 0.216 0.216
0.784 0.784 0.784
0.394 0.394 0.394
0.606 0.606 0.606
0.000 0.000 0.000
0.215 0.215 0.757
0.215 0.757 0.215
0.243 0.785 0.785
0.757 0.215 0.215
0.785 0.243 0.785
0.785 0.785 0.243

Entry 2:
CsLiPuO4 (PBE, optimized geometry); volume = 17.3 A^3/atom; space-group type = P2_1/m, No. 11; formation energy without anion corrections = -2166.4 meV per atom
1.0
5.639 0.000 0.000
0.000 5.759 0.000
-0.741 0.000 7.459
Cs Li Pu O
2 2 2 8
Direct
0.226 0.250 0.078
0.774 0.750 0.922
0.355 0.250 0.660
0.645 0.750 0.340
0.175 0.750 0.462
0.825 0.250 0.538
0.100 0.011 0.659
0.100 0.489 0.659
0.320 0.750 0.229
0.492 0.250 0.434
0.508 0.750 0.566
0.680 0.250 0.771
0.900 0.511 0.341
0.900 0.989 0.341

Entry 3:
Cs3LiPu2O9 (PBE, optimized geometry); volume = 17.6 A^3/atom; space-group type = P-3m1, No. 164; formation energy without anion corrections = -2106.9 meV per atom
1.0
6.275 0.000 0.000
-3.138 5.434 0.000
0.000 0.000 7.756
Cs Li Pu O
3 1 2 9
Direct
0.000 0.000 0.000
0.333 0.667 0.649
0.667 0.333 0.351
0.000 0.000 0.500
0.333 0.667 0.154
0.667 0.333 0.846
0.000 0.500 0.000
0.188 0.376 0.300
0.188 0.812 0.300
0.376 0.188 0.700
0.500 0.000 0.000
0.500 0.500 0.000
0.624 0.812 0.300
0.812 0.188 0.700
0.812 0.624 0.700

Entry 4:
Cs3LiPu3O8 (PBE, optimized geometry); volume = 19.5 A^3/atom; space-group type = R-3m, No. 166; formation energy without anion corrections = -2369.3 meV per atom
1.0
3.506 2.024 6.866
-3.506 2.024 6.866
0.000 -4.049 6.866
Cs Li Pu O
3 1 3 8
Direct
0.000 0.500 0.500
0.500 0.000 0.500
0.500 0.500 0.000
0.500 0.500 0.500
0.000 0.000 0.500
0.000 0.500 0.000
0.500 0.000 0.000
0.193 0.730 0.730
0.223 0.223 0.223
0.270 0.270 0.807
0.270 0.807 0.270
0.730 0.193 0.730
0.730 0.730 0.193
0.777 0.777 0.777
0.807 0.270 0.270

Entry 5:
Cs2LiReO4 (PBE, optimized geometry); volume = 24.0 A^3/atom; space-group type = Fddd, No. 70; formation energy without anion corrections = -1631.8 meV per atom
1.0
0.000 6.173 11.480
2.708 0.000 11.480
2.708 6.173 0.000
Cs Li Re O
4 2 2 8
Direct
0.041 0.041 0.709
0.291 0.291 0.959
0.709 0.709 0.041
0.959 0.959 0.291
0.125 0.125 0.125
0.875 0.875 0.875
0.375 0.375 0.375
0.625 0.625 0.625
0.044 0.599 0.619
0.238 0.619 0.599
0.381 0.762 0.956
0.401 0.956 0.762
0.599 0.044 0.238
0.619 0.238 0.044
0.762 0.381 0.401
0.956 0.401 0.381

Entry 6:
CsLiRe2O8 (PBE, optimized geometry); volume = 20.4 A^3/atom; space-group type = P-3, No. 147; formation energy without anion corrections = -1871.1 meV per atom
1.0
5.895 0.000 0.000
-2.948 5.106 0.000
0.000 0.000 8.137
Cs Li Re O
1 1 2 8
Direct
0.000 0.000 0.000
0.000 0.000 0.500
0.333 0.667 0.725
0.667 0.333 0.275
0.165 0.825 0.657
0.175 0.341 0.657
0.333 0.667 0.941
0.341 0.165 0.343
0.659 0.835 0.657
0.667 0.333 0.059
0.825 0.659 0.343
0.835 0.175 0.343

Entry 7:
CsLiRhO2 (PBE, optimized geometry); volume = 17.0 A^3/atom; space-group type = Cmme, No. 67; formation energy without anion corrections = -816.4 meV per atom
1.0
2.536 -6.508 0.000
2.536 6.508 0.000
0.000 0.000 5.158
Cs Li Rh O
2 2 2 4
Direct
0.250 0.750 0.752
0.750 0.250 0.248
0.000 0.000 0.500
0.500 0.500 0.500
0.250 0.250 0.000
0.750 0.750 0.000
0.097 0.903 0.232
0.403 0.597 0.232
0.597 0.403 0.768
0.903 0.097 0.768

Entry 8:
Cs2Li2RhO4 (PBE, optimized geometry); volume = 16.8 A^3/atom; space-group type = C2/m, No. 12; formation energy without anion corrections = -1256.7 meV per atom
1.0
7.421 -1.779 0.000
7.421 1.779 0.000
-2.606 0.000 5.729
Cs Li Rh O
2 2 1 4
Direct
0.141 0.141 0.139
0.859 0.859 0.861
0.378 0.378 0.380
0.622 0.622 0.620
0.000 0.000 0.500
0.151 0.151 0.650
0.499 0.499 0.697
0.501 0.501 0.303
0.849 0.849 0.350

Entry 9:
Cs3Li2RuO6 (PBE, optimized geometry); volume = 22.1 A^3/atom; space-group type = C2/m, No. 12; formation energy without anion corrections = -1196.5 meV per atom
1.0
2.726 -7.662 0.000
2.726 7.662 0.000
-1.671 0.000 6.360
Cs Li Ru O
3 2 1 6
Direct
0.000 0.000 0.000
0.351 0.649 0.000
0.649 0.351 0.000
0.076 0.924 0.500
0.924 0.076 0.500
0.500 0.500 0.500
0.193 0.371 0.347
0.282 0.282 0.696
0.371 0.193 0.347
0.629 0.807 0.653
0.718 0.718 0.304
0.807 0.629 0.653

Entry 10:
CsLiSO4 (PBE, optimized geometry); volume = 17.0 A^3/atom; polymorph energy (0 for the lowest one) = 0.000 eV per atom; space-group type = P2_1/c, No. 14; formation energy without anion corrections = -1907.8 meV per atom
1.0
5.497 0.000 0.000
0.000 9.146 0.000
-5.447 0.000 9.491
Cs Li S O
4 4 4 16
Direct
0.043 0.000 0.285
0.043 0.500 0.785
0.957 0.000 0.715
0.957 0.500 0.215
0.339 0.175 0.086
0.339 0.325 0.586
0.661 0.675 0.414
0.661 0.825 0.914
0.330 0.700 0.583
0.330 0.800 0.083
0.670 0.200 0.917
0.670 0.300 0.417
0.041 0.744 0.473
0.041 0.756 0.973
0.348 0.538 0.597
0.348 0.962 0.097
0.395 0.735 0.221
0.395 0.765 0.721
0.464 0.246 0.458
0.464 0.254 0.958
0.536 0.746 0.042
0.536 0.754 0.542
0.605 0.235 0.279
0.605 0.265 0.779
0.652 0.038 0.903
0.652 0.462 0.403
0.959 0.244 0.027
0.959 0.256 0.527

Entry 11:
CsLiSO4 (PBE, optimized geometry); volume = 17.9 A^3/atom; polymorph energy (0 for the lowest one) = 0.022 eV per atom; space-group type = P2_1/m, No. 11; formation energy without anion corrections = -1886.1 meV per atom
1.0
5.083 0.000 0.000
0.000 5.378 0.000
-0.464 0.000 9.186
Cs Li S O
2 2 2 8
Direct
0.235 0.250 0.178
0.765 0.750 0.822
0.160 0.750 0.484
0.840 0.250 0.516
0.296 0.250 0.696
0.704 0.750 0.304
0.163 0.027 0.628
0.163 0.473 0.628
0.264 0.250 0.855
0.419 0.750 0.334
0.581 0.250 0.666
0.736 0.750 0.145
0.837 0.527 0.372
0.837 0.973 0.372

Entry 12:
CsLiSO4 (PBE, optimized geometry); volume = 24.5 A^3/atom; polymorph energy (0 for the lowest one) = 0.068 eV per atom; space-group type = Pnma, No. 62; formation energy without anion corrections = -1840.1 meV per atom
1.0
10.020 0.000 0.000
0.000 5.523 0.000
0.000 0.000 12.409
Cs Li S O
4 4 4 16
Direct
0.083 0.250 0.178
0.417 0.750 0.678
0.583 0.250 0.322
0.917 0.750 0.822
0.115 0.750 0.522
0.385 0.250 0.022
0.615 0.750 0.978
0.885 0.250 0.478
0.203 0.250 0.463
0.297 0.750 0.963
0.703 0.250 0.037
0.797 0.750 0.537
0.061 0.250 0.426
0.207 0.750 0.868
0.228 0.030 0.531
0.228 0.470 0.531
0.272 0.530 0.031
0.272 0.970 0.031
0.293 0.250 0.368
0.439 0.750 0.926
0.561 0.250 0.074
0.707 0.750 0.632
0.728 0.030 0.969
0.728 0.470 0.969
0.772 0.530 0.469
0.772 0.970 0.469
0.793 0.250 0.132
0.939 0.750 0.574

Entry 13:
CsLiS2O8 (PBE, optimized geometry); volume = 17.6 A^3/atom; space-group type = P-3, No. 147; formation energy without anion corrections = -1412.3 meV per atom
1.0
5.408 0.000 0.000
-2.704 4.684 0.000
0.000 0.000 8.350
Cs Li S O
1 1 2 8
Direct
0.000 0.000 0.000
0.000 0.000 0.500
0.333 0.667 0.703
0.667 0.333 0.297
0.183 0.368 0.644
0.185 0.817 0.644
0.333 0.667 0.880
0.368 0.185 0.356
0.632 0.815 0.644
0.667 0.333 0.120
0.815 0.183 0.356
0.817 0.632 0.356

Entry 14:
Cs3LiSb2O6 (PBE, optimized geometry); volume = 24.3 A^3/atom; space-group type = P-3m1, No. 164; formation energy without anion corrections = -1304.7 meV per atom
1.0
6.553 0.000 0.000
-3.276 5.675 0.000
0.000 0.000 7.829
Cs Li Sb O
3 1 2 6
Direct
0.000 0.000 0.000
0.333 0.667 0.665
0.667 0.333 0.335
0.000 0.000 0.500
0.333 0.667 0.219
0.667 0.333 0.781
0.175 0.351 0.308
0.175 0.825 0.308
0.351 0.175 0.692
0.649 0.825 0.308
0.825 0.175 0.692
0.825 0.649 0.692

Entry 15:
Cs2LiSeO (PBE, optimized geometry); volume = 41.2 A^3/atom; space-group type = P4/mmm, No. 123; formation energy without anion corrections = -255.6 meV per atom
1.0
7.118 0.000 0.000
0.000 7.118 0.000
0.000 0.000 4.069
Cs Li Se O
2 1 1 1
Direct
0.000 0.500 0.000
0.500 0.000 0.000
0.000 0.000 0.500
0.500 0.500 0.000
0.500 0.500 0.500

Entry 16:
CsLiSe2O6 (PBE, optimized geometry); volume = 19.8 A^3/atom; space-group type = C2/c, No. 15; formation energy without anion corrections = -1076.7 meV per atom
1.0
5.451 -5.942 0.000
5.451 5.942 0.000
-3.040 0.000 6.117
Cs Li Se O
2 2 4 12
Direct
0.182 0.818 0.750
0.818 0.182 0.250
0.284 0.716 0.250
0.716 0.284 0.750
0.177 0.336 0.878
0.336 0.177 0.378
0.664 0.823 0.622
0.823 0.664 0.122
0.038 0.669 0.253
0.200 0.254 0.190
0.254 0.200 0.690
0.286 0.546 0.972
0.331 0.962 0.247
0.454 0.714 0.528
0.546 0.286 0.472
0.669 0.038 0.753
0.714 0.454 0.028
0.746 0.800 0.310
0.800 0.746 0.810
0.962 0.331 0.747

Entry 17:
CsLi2Se2O6 (PBE, optimized geometry); volume = 18.9 A^3/atom; space-group type = P-1, No. 2; formation energy without anion corrections = -1306.4 meV per atom
1.0
5.447 0.000 0.000
-1.119 5.972 0.000
-2.271 -2.090 6.405
Cs Li Se O
1 2 2 6
Direct
0.000 0.000 0.000
0.327 0.824 0.551
0.673 0.176 0.449
0.313 0.355 0.691
0.687 0.645 0.309
0.048 0.244 0.459
0.476 0.823 0.321
0.492 0.625 0.707
0.508 0.375 0.293
0.524 0.177 0.679
0.952 0.756 0.541

Entry 18:
Cs2LiSe2O6 (PBE, optimized geometry); volume = 21.6 A^3/atom; space-group type = R-3m, No. 166; formation energy without anion corrections = -1218.2 meV per atom
1.0
3.139 1.813 6.946
-3.139 1.813 6.946
0.000 -3.625 6.946
Cs Li Se O
2 1 2 6
Direct
0.250 0.250 0.250
0.750 0.750 0.750
0.000 0.000 0.000
0.423 0.423 0.423
0.577 0.577 0.577
0.247 0.247 0.688
0.247 0.688 0.247
0.312 0.753 0.753
0.688 0.247 0.247
0.753 0.312 0.753
0.753 0.753 0.312

Entry 19:
CsLiSiO3 (PBE, optimized geometry); volume = 15.9 A^3/atom; space-group type = Cmcm, No. 63; formation energy without anion corrections = -2253.2 meV per atom
1.0
2.689 -7.042 0.000
2.689 7.042 0.000
0.000 0.000 5.043
Cs Li Si O
2 2 2 6
Direct
0.243 0.757 0.750
0.757 0.243 0.250
0.019 0.981 0.250
0.981 0.019 0.750
0.461 0.539 0.250
0.539 0.461 0.750
0.284 0.284 0.000
0.284 0.284 0.500
0.346 0.654 0.250
0.654 0.346 0.750
0.716 0.716 0.000
0.716 0.716 0.500